# PBE SiTcW2, relaxed
# - size of the total moment (μB per formula unit) = 0.00
# - N(E_F) (states/eV per cell) = 2.5
# - uncorrected formation energy (meV per atom) = -11
data_SiTcW2
_symmetry_space_group_name_H-M 'P 4 m m'
_symmetry_Int_Tables_number 99
_cell_length_a 2.921
_cell_length_b 2.921
_cell_length_c 6.904
_cell_angle_alpha 90.00
_cell_angle_beta 90.00
_cell_angle_gamma 90.00
loop_
_symmetry_equiv_pos_as_xyz
'x,y,z'
'-y,x,z'
'-x,-y,z'
'y,-x,z'
'-x,y,z'
'y,x,z'
'x,-y,z'
'-y,-x,z'
loop_
_atom_site_label
_atom_site_fract_x
_atom_site_fract_y
_atom_site_fract_z
Si1 0.000 0.000 0.000
Tc1 0.500 0.500 0.208
W1 0.000 0.000 0.462
W2 0.500 0.500 0.756



# PBE NdPaTlHg, relaxed
# - size of the total moment (μB per formula unit) = 2.25
# - N(E_F) (states/eV per cell) = 42.8
# - formation enthalpy at 0 K (eV/atom) = 0.0237
data_NdPaTlHg
_symmetry_space_group_name_H-M 'F -4 3 m'
_symmetry_Int_Tables_number 216
_symmetry_space_group_name_Hall 'F -4 2 3'
_cell_length_a 7.657
_cell_length_b 7.657
_cell_length_c 7.657
_cell_angle_alpha 90.00
_cell_angle_beta 90.00
_cell_angle_gamma 90.00
loop_
_atom_site_label
_atom_site_fract_x
_atom_site_fract_y
_atom_site_fract_z
Nd1 0.000 0.000 0.000
Pa1 0.000 0.000 0.500
Tl1 0.250 0.250 0.750
Hg1 0.250 0.250 0.250



# PBE CsCd3Bi, relaxed
# - size of the total moment (μB per formula unit) = 0.00
# - N(E_F) (states/eV per cell) = 1.4
# - formation enthalpy at 0 K (eV/atom) = 0.0832
data_CsCd3Bi
_symmetry_space_group_name_H-M 'P m -3 m'
_symmetry_Int_Tables_number 221
_symmetry_space_group_name_Hall '-P 4 2 3'
_cell_length_a 6.062
_cell_length_b 6.062
_cell_length_c 6.062
_cell_angle_alpha 90.00
_cell_angle_beta 90.00
_cell_angle_gamma 90.00
loop_
_atom_site_label
_atom_site_fract_x
_atom_site_fract_y
_atom_site_fract_z
Cs1 0.000 0.000 0.000
Cd1 0.000 0.500 0.500
Bi1 0.500 0.500 0.500



# PBE SrZnGe, relaxed
# - size of the total moment (μB per formula unit) = 0.00
# - N(E_F) (states/eV per cell) = 2.4
# - formation enthalpy at 0 K (eV/atom) = -0.2294
data_SrZnGe
_symmetry_space_group_name_H-M 'P 1'
_symmetry_Int_Tables_number 1
_cell_length_a 4.698
_cell_length_b 5.827
_cell_length_c 6.532
_cell_angle_alpha 74.02
_cell_angle_beta 86.28
_cell_angle_gamma 67.37
loop_
_symmetry_equiv_pos_as_xyz
'x,y,z'
loop_
_atom_site_label
_atom_site_fract_x
_atom_site_fract_y
_atom_site_fract_z
Sr1 0.000 0.000 0.000
Sr2 0.263 0.427 0.563
Zn1 0.737 0.510 0.180
Zn2 0.928 0.054 0.472
Ge1 0.514 0.880 0.365
Ge2 0.655 0.769 0.769



# PBE Tm6Zn2Ni, relaxed
# - size of the total moment (μB per formula unit) = 0.00
# - N(E_F) (states/eV per cell) = 34.9
# - formation enthalpy at 0 K (eV/atom) = -0.1997
data_Tm6Zn2Ni
_symmetry_space_group_name_H-M 'I m m m'
_symmetry_Int_Tables_number 71
_symmetry_space_group_name_Hall '-I 2 2'
_cell_length_a 9.385
_cell_length_b 9.410
_cell_length_c 9.827
_cell_angle_alpha 90.00
_cell_angle_beta 90.00
_cell_angle_gamma 90.00
loop_
_atom_site_label
_atom_site_fract_x
_atom_site_fract_y
_atom_site_fract_z
Tm1 0.000 0.174 0.249
Tm2 0.174 0.500 0.278
Tm3 0.237 0.312 0.000
Zn1 0.000 0.362 0.500
Zn2 0.129 0.000 0.000
Ni1 0.000 0.000 0.500
Ni2 0.000 0.500 0.000



# PBE NaHf2RuO8, relaxed
# - size of the total moment (μB per formula unit) = 0.96
# - N(E_F) (states/eV per cell) = 7.2
# - uncorrected formation energy (meV per atom) = -2125
data_NaHf2RuO8
_symmetry_space_group_name_H-M 'C m m m'
_symmetry_Int_Tables_number 65
_symmetry_space_group_name_Hall '-C 2 2'
_cell_length_a 6.785
_cell_length_b 6.850
_cell_length_c 6.508
_cell_angle_alpha 90.00
_cell_angle_beta 90.00
_cell_angle_gamma 90.00
loop_
_atom_site_label
_atom_site_fract_x
_atom_site_fract_y
_atom_site_fract_z
Na1 0.000 0.000 0.000
Hf1 0.000 0.500 0.240
Ru1 0.000 0.000 0.500
O1 0.000 0.293 0.500
O2 0.000 0.316 0.000
O3 0.197 0.000 0.299



Which of these has the lowest N(E_F)? CsCd3Bi



Which value of N(E_F) does entry 5 give? 34.9 states/eV per cell